1.
Entry from the Alexandria database: U6As2PSe3 after structural relaxation (PBE).

a b c (Å): 9.0047 9.0047 8.3119
angles (deg): 101.65 101.65 25.25
Fractional positions:
U 0.0013 0.0013 0.2620
U 0.3318 0.3318 0.9204
U 0.3386 0.3386 0.4211
U 0.6614 0.6614 0.5789
U 0.6682 0.6682 0.0796
U 0.9987 0.9987 0.7380
As 0.1654 0.1654 0.8295
As 0.8346 0.8346 0.1705
P 0.5000 0.5000 0.5000
Se 0.1702 0.1702 0.3320
Se 0.5000 0.5000 0.0000
Se 0.8298 0.8298 0.6680

Calculated values
electronic total energy: -103.7 eV per cell
ρ: 10.898 g/cm3
space group: No. 12
size of the total moment: 4.8 μB/f.u.

***

2.
Entry from the Alexandria database: IrRhAuI after structural relaxation (PBE).

a b c (Å): 3.8045 3.3325 5.9918
angles (deg): 90.00 91.48 90.00
Fractional positions:
Ir 0.0000 0.0000 0.0000
Rh 0.9740 0.0000 0.5427
Au 0.5187 0.5000 0.7820
I 0.2991 0.5000 0.2829

Calculated values
electronic total energy: -18.5 eV per cell
ρ: 13.535 g/cm3
space group: No. 6
size of the total moment: 0.0 μB/f.u.

***

3.
Entry from the Alexandria database: AcLaPm2Dy after structural relaxation (PBE).

a b c (Å): 7.4215 7.4215 7.3565
angles (deg): 90.00 90.00 109.64
Fractional positions:
Ac 0.2429 0.7571 0.7500
Ac 0.7571 0.2429 0.2500
La 0.4856 0.5144 0.2500
La 0.5144 0.4856 0.7500
Pm 0.1869 0.1869 0.0000
Pm 0.1869 0.1869 0.5000
Pm 0.8131 0.8131 0.0000
Pm 0.8131 0.8131 0.5000
Dy 0.2114 0.7886 0.2500
Dy 0.7886 0.2114 0.7500

Calculated values
electronic total energy: -42.9 eV per cell
ρ: 7.122 g/cm3
space group: No. 63
formation enthalpy at 0 K: 0.337 eV/atom
size of the total moment: 0.0 μB/f.u.

***

4.
Entry from the Alexandria database: TlSnGeMo2 after structural relaxation (PBE).

a b c (Å): 5.2181 5.2181 5.5302
angles (deg): 90.00 90.00 90.00
Fractional positions:
Tl 0.0000 0.0000 0.0000
Sn 0.0000 0.0000 0.5000
Ge 0.5000 0.5000 0.0000
Mo 0.0000 0.5000 0.5000
Mo 0.5000 0.0000 0.5000

Calculated values
electronic total energy: -23.6 eV per cell
ρ: 6.480 g/cm3
space group: No. 123
formation enthalpy at 0 K: 1.817 eV/atom
size of the total moment: 5.6 μB/f.u.

***

5.
Entry from the Alexandria database: Cs2TlBrF2 after structural relaxation (PBE).

a b c (Å): 5.1386 5.1386 7.7961
angles (deg): 90.00 90.00 90.00
Fractional positions:
Cs 0.0000 0.0000 0.2444
Cs 0.0000 0.0000 0.7556
Tl 0.5000 0.5000 0.0000
Br 0.5000 0.5000 0.5000
F 0.0000 0.5000 0.0000
F 0.5000 0.0000 0.0000

Calculated values
electronic total energy: -21.5 eV per cell
ρ: 4.744 g/cm3
space group: No. 123
size of the total moment: 0.0 μB/f.u.

***

6.
Entry from the Alexandria database: Ni2Pt after structural relaxation (PBE).

a b c (Å): 6.8551 6.8551 4.3304
angles (deg): 90.00 90.00 157.70
Fractional positions:
Ni 0.0479 0.9521 0.7500
Ni 0.3948 0.6052 0.7500
Ni 0.6052 0.3948 0.2500
Ni 0.9521 0.0479 0.2500
Pt 0.2868 0.7132 0.2500
Pt 0.7132 0.2868 0.7500

Calculated values
electronic total energy: -35.0 eV per cell
ρ: 13.441 g/cm3
space group: No. 63
formation enthalpy at 0 K: 0.034 eV/atom
size of the total moment: 1.8 μB/f.u.

***

7.
Entry from the Alexandria database: CaCoCl2 after structural relaxation (PBE).

a b c (Å): 6.5544 6.5544 4.5911
angles (deg): 90.40 90.40 34.71
Fractional positions:
Ca 0.0000 0.0000 0.0000
Co 0.5000 0.5000 0.5000
Cl 0.3630 0.3630 0.7778
Cl 0.6370 0.6370 0.2222

Calculated values
electronic total energy: -16.5 eV per cell
ρ: 2.512 g/cm3
space group: No. 12
size of the total moment: 1.0 μB/f.u.

***

8.
Entry from the Alexandria database: Tb5ScAu6 after structural relaxation (PBE).

a b c (Å): 8.8023 8.8023 5.0777
angles (deg): 106.68 106.68 47.61
Fractional positions:
Tb 0.0000 0.0000 0.0000
Tb 0.1656 0.1656 0.6656
Tb 0.3317 0.3317 0.3315
Tb 0.6683 0.6683 0.6685
Tb 0.8344 0.8344 0.3344
Sc 0.5000 0.5000 0.0000
Au 0.0989 0.5803 0.8394
Au 0.2660 0.7340 0.5000
Au 0.4197 0.9011 0.1606
Au 0.5803 0.0989 0.8394
Au 0.7340 0.2660 0.5000
Au 0.9011 0.4197 0.1606

Calculated values
electronic total energy: -59.1 eV per cell
ρ: 12.165 g/cm3
space group: No. 12
formation enthalpy at 0 K: -0.832 eV/atom
size of the total moment: 0.0 μB/f.u.

***

9.
Entry from the Alexandria database: La6Cd5In after structural relaxation (PBE).

a b c (Å): 9.6421 9.6421 9.6421
angles (deg): 146.52 131.53 60.20
Fractional positions:
La 0.0840 0.3338 0.7502
La 0.2502 0.0000 0.2502
La 0.4163 0.6662 0.7502
La 0.5837 0.3338 0.2498
La 0.7498 0.0000 0.7498
La 0.9160 0.6662 0.2498
Cd 0.0000 0.5000 0.5000
Cd 0.1672 0.1672 0.0000
Cd 0.3323 0.8323 0.5000
Cd 0.6677 0.1677 0.5000
Cd 0.8328 0.8328 0.0000
In 0.5000 0.5000 0.0000

Calculated values
electronic total energy: -41.2 eV per cell
ρ: 6.837 g/cm3
space group: No. 71
formation enthalpy at 0 K: -0.362 eV/atom
size of the total moment: 0.9 μB/f.u.

***

10.
Entry from the Alexandria database: La8C3SBr4 after structural relaxation (PBE).

a b c (Å): 8.8564 8.8564 8.8564
angles (deg): 53.38 53.38 53.38
Fractional positions:
La 0.2094 0.7400 0.7400
La 0.2282 0.2282 0.2282
La 0.2600 0.2600 0.7906
La 0.2600 0.7906 0.2600
La 0.7400 0.2094 0.7400
La 0.7400 0.7400 0.2094
La 0.7718 0.7718 0.7718
La 0.7906 0.2600 0.2600
C 0.0000 0.0000 0.5000
C 0.0000 0.5000 0.0000
C 0.5000 0.0000 0.0000
S 0.5000 0.5000 0.5000
Br 0.0000 0.0000 0.0000
Br 0.0000 0.5000 0.5000
Br 0.5000 0.0000 0.5000
Br 0.5000 0.5000 0.0000

Calculated values
electronic total energy: -95.9 eV per cell
ρ: 5.996 g/cm3
space group: No. 166
size of the total moment: 0.0 μB/f.u.

***

11.
Entry from the Alexandria database: AlPtCl after structural relaxation (PBE).

a b c (Å): 4.3423 4.3423 4.3423
angles (deg): 60.00 60.00 60.00
Fractional positions:
Al 0.0000 0.0000 0.0000
Pt 0.2500 0.2500 0.2500
Cl 0.7500 0.7500 0.7500

Calculated values
electronic total energy: -11.8 eV per cell
ρ: 7.386 g/cm3
space group: No. 216
size of the total moment: 0.0 μB/f.u.

***

12.
Entry from the Alexandria database: Fe2SiSnBi after structural relaxation (PBE).

a b c (Å): 4.5295 4.5295 5.5211
angles (deg): 90.00 90.00 90.00
Fractional positions:
Fe 0.0000 0.5000 0.0000
Fe 0.5000 0.0000 0.0000
Si 0.0000 0.0000 0.0000
Sn 0.5000 0.5000 0.5000
Bi 0.0000 0.0000 0.5000

Calculated values
electronic total energy: -26.4 eV per cell
ρ: 6.853 g/cm3
space group: No. 123
size of the total moment: 5.2 μB/f.u.

***

13.
Entry from the Alexandria database: MnAlAg2 after structural relaxation (PBE).

a b c (Å): 2.8785 4.3044 5.5339
angles (deg): 90.00 104.83 90.00
Fractional positions:
Mn 0.0000 0.0000 0.0000
Al 0.4076 0.5000 0.8103
Ag 0.2640 0.0000 0.5300
Ag 0.6493 0.5000 0.2976

Calculated values
electronic total energy: -18.3 eV per cell
ρ: 7.457 g/cm3
space group: No. 6
formation enthalpy at 0 K: 0.079 eV/atom
size of the total moment: 3.6 μB/f.u.

***

no.,V (A^3/atom)
1,23.44
2,18.99
3,38.16
4,30.12
5,34.31
6,12.87
7,28.08
8,22.99
9,30.57
10,25.95
11,19.30
12,22.65
13,16.57